# 1
Entry from Alexandria via LeMat-Bulk: an optimized crystal structure of Mo4Ir3 (PBE).

Values from the calculation:
ΔE to the lowest computed polymorph: 0.0000 eV per atom
Formation energy from the elements: -0.064 eV per atom
Total energy: -10.05 eV per atom
Magnetization: 0.00 Bohr magnetons per cell

a b c (Å): 5.1243 5.1243 4.8198
angles (deg): 90.00 90.00 120.00
With the nearest neighbours (Å) after each atom.
Fractional coordinates of all 7 atoms:
Mo1 0.0000 0.0000 0.2601  2 Mo 2.31-2.51
Mo2 0.0000 0.0000 0.7399  2 Mo 2.31-2.51
Mo3 0.6667 0.3333 0.5000  6 Ir 2.83, 3 Mo 2.96
Mo4 0.3333 0.6667 0.5000  6 Ir 2.83, 3 Mo 2.96
Ir1 0.0000 0.5000 0.0000  4 Ir 2.56, 8 Mo 2.83-2.85
Ir2 0.5000 0.5000 0.0000  4 Ir 2.56, 8 Mo 2.83-2.85
Ir3 0.5000 0.0000 0.0000  4 Ir 2.56, 8 Mo 2.83-2.85

# 2
Entry from Alexandria via LeMat-Bulk: an optimized crystal structure of Mo2Ir (PBE).

Values from the calculation:
ΔE to the lowest computed polymorph: 0.1232 eV per atom
Formation energy from the elements: -0.026 eV per atom
Total energy: -10.20 eV per atom
Magnetization: 0.00 Bohr magnetons per cell

a b c (Å): 5.0507 5.0507 5.0507
angles (deg): 104.95 104.95 118.94
With the nearest neighbours (Å) after each atom.
Fractional coordinates of all 6 atoms:
Mo1 0.6445 0.1445 0.7890  1 Mo 2.51, 4 Ir 2.69
Mo2 0.1445 0.3555 0.5000  1 Mo 2.51, 4 Ir 2.69
Mo3 0.8555 0.6445 0.5000  1 Mo 2.51, 4 Ir 2.69
Mo4 0.3555 0.8555 0.2110  1 Mo 2.51, 4 Ir 2.69
Ir1 0.7500 0.7500 0.0000  2 Ir 2.57, 8 Mo 2.69
Ir2 0.2500 0.2500 0.0000  2 Ir 2.57, 8 Mo 2.69

# 3
Entry from Alexandria via LeMat-Bulk: an optimized crystal structure of MoIr (PBE).

Values from the calculation:
Formation energy from the elements: 0.586 eV per atom
Total energy: -9.26 eV per atom
Magnetization: 0.00 Bohr magnetons per cell

a b c (Å): 5.2398 5.2398 4.9723
angles (deg): 90.00 90.00 90.00
With the nearest neighbours (Å) after each atom.
Fractional coordinates of all 8 atoms:
Mo1 0.3232 0.6768 0.0000  6 Ir 2.49-2.76, 1 Mo 2.62
Mo2 0.8232 0.8232 0.5000  6 Ir 2.49-2.76, 1 Mo 2.62
Mo3 0.1768 0.1768 0.5000  6 Ir 2.49-2.76, 1 Mo 2.62
Mo4 0.6768 0.3232 0.0000  6 Ir 2.49-2.76, 1 Mo 2.62
Ir1 0.1850 0.1850 0.0000  6 Mo 2.49-2.76, 1 Ir 2.74
Ir2 0.6850 0.3150 0.5000  6 Mo 2.49-2.76, 1 Ir 2.74
Ir3 0.3150 0.6850 0.5000  6 Mo 2.49-2.76, 1 Ir 2.74
Ir4 0.8150 0.8150 0.0000  6 Mo 2.49-2.76, 1 Ir 2.74

# 4
Entry from Alexandria via LeMat-Bulk: an optimized crystal structure of MoIr5 (PBE).

Values from the calculation:
ΔE to the lowest computed polymorph: 0.0448 eV per atom
Formation energy from the elements: -0.161 eV per atom
Total energy: -9.35 eV per atom
Magnetization: 0.00 Bohr magnetons per cell

a b c (Å): 2.7747 7.3235 4.4137
angles (deg): 90.00 90.00 79.08
With the nearest neighbours (Å) after each atom.
Fractional coordinates of all 6 atoms:
Ir1 0.0003 0.9995 0.0000  10 Ir 2.72-2.78, 2 Mo 2.72
Ir2 0.6668 0.6664 0.0000  12 Ir 2.73-2.77
Ir3 0.3330 0.3339 0.0000  8 Ir 2.72-2.78, 4 Mo 2.73
Ir4 0.5535 0.8930 0.5000  10 Ir 2.72-2.80, 2 Mo 2.73
Ir5 0.2230 0.5541 0.5000  10 Ir 2.72-2.80, 2 Mo 2.78
Mo1 0.8901 0.2198 0.5000  10 Ir 2.72-2.78, 2 Mo 2.77

# 5
Entry from Alexandria via LeMat-Bulk: an optimized crystal structure of MoIr (PBE).

Values from the calculation:
Formation energy from the elements: -0.148 eV per atom
Total energy: -9.99 eV per atom
Magnetization: 0.00 Bohr magnetons per cell

a b c (Å): 2.7518 4.4959 4.8798
angles (deg): 90.00 90.00 90.00
With the nearest neighbours (Å) after each atom.
Fractional coordinates of all 4 atoms:
Ir1 0.0000 0.0000 0.0033  6 Mo 2.72-2.85, 6 Ir 2.75-2.77
Ir2 0.5000 0.5000 0.8301  6 Mo 2.72-2.85, 6 Ir 2.75-2.77
Mo1 0.0000 0.5000 0.3182  6 Ir 2.72-2.85, 6 Mo 2.75-2.81
Mo2 0.5000 0.0000 0.5152  6 Ir 2.72-2.85, 6 Mo 2.75-2.81

# 6
Entry from Alexandria via LeMat-Bulk: an optimized crystal structure of Mo2Ir (PBE).

Values from the calculation:
ΔE to the lowest computed polymorph: 0.3032 eV per atom
Formation energy from the elements: 0.154 eV per atom
Total energy: -10.02 eV per atom
Magnetization: 0.00 Bohr magnetons per cell

a b c (Å): 3.2767 4.9533 3.2767
angles (deg): 70.68 90.00 109.32
With the nearest neighbours (Å) after each atom.
Fractional coordinates of all 3 atoms:
Ir1 0.0000 0.0000 0.0000  10 Mo 2.77-2.87
Mo1 0.3275 0.6550 0.6725  4 Mo 2.69, 5 Ir 2.77-2.87
Mo2 0.6725 0.3450 0.3275  4 Mo 2.69, 5 Ir 2.77-2.87

# 7
Entry from Alexandria via LeMat-Bulk: an optimized crystal structure of Mo11Ir4 (PBE).

Values from the calculation:
Formation energy from the elements: -0.114 eV per atom
Total energy: -10.42 eV per atom
Magnetization: 0.00 Bohr magnetons per cell

a b c (Å): 9.7051 9.7051 4.9749
angles (deg): 90.00 90.00 90.00
With the nearest neighbours (Å) after each atom.
Fractional coordinates of all 30 atoms:
Ir1 0.0697 0.2657 0.0000  11 Mo 2.67-2.95, 1 Ir 2.69
Ir2 0.9303 0.7343 0.0000  11 Mo 2.67-2.95, 1 Ir 2.69
Ir3 0.2343 0.5697 0.5000  11 Mo 2.67-2.95, 1 Ir 2.69
Ir4 0.7657 0.4303 0.5000  11 Mo 2.67-2.95, 1 Ir 2.69
Ir5 0.4303 0.7657 0.5000  11 Mo 2.67-2.95, 1 Ir 2.69
Ir6 0.5697 0.2343 0.5000  11 Mo 2.67-2.95, 1 Ir 2.69
Ir7 0.2657 0.0697 0.0000  11 Mo 2.67-2.95, 1 Ir 2.69
Ir8 0.7343 0.9303 0.0000  11 Mo 2.67-2.95, 1 Ir 2.69
Mo1 0.0000 0.0000 0.0000  4 Ir 2.67, 8 Mo 2.78-2.88
Mo2 0.5000 0.5000 0.5000  4 Ir 2.67, 8 Mo 2.78-2.88
Mo3 0.3939 0.6061 0.0000  5 Mo 2.65-2.91, 4 Ir 2.95
Mo4 0.6061 0.3939 0.0000  5 Mo 2.65-2.91, 4 Ir 2.95
Mo5 0.8939 0.8939 0.5000  5 Mo 2.65-2.91, 4 Ir 2.95
Mo6 0.1061 0.1061 0.5000  5 Mo 2.65-2.91, 4 Ir 2.95
Mo7 0.1300 0.5369 0.0000  2 Mo 2.62-2.65, 4 Ir 2.70-2.72
Mo8 0.8700 0.4631 0.0000  2 Mo 2.62-2.65, 4 Ir 2.70-2.72
Mo9 0.9631 0.6300 0.5000  2 Mo 2.62-2.65, 4 Ir 2.70-2.72
Mo10 0.0369 0.3700 0.5000  2 Mo 2.62-2.65, 4 Ir 2.70-2.72
Mo11 0.3700 0.0369 0.5000  2 Mo 2.62-2.65, 4 Ir 2.70-2.72
Mo12 0.6300 0.9631 0.5000  2 Mo 2.62-2.65, 4 Ir 2.70-2.72
Mo13 0.5369 0.1300 0.0000  2 Mo 2.62-2.65, 4 Ir 2.70-2.72
Mo14 0.4631 0.8700 0.0000  2 Mo 2.62-2.65, 4 Ir 2.70-2.72
Mo15 0.3191 0.3191 0.2502  3 Mo 2.49-2.78, 2 Ir 2.77
Mo16 0.6809 0.6809 0.2502  3 Mo 2.49-2.78, 2 Ir 2.77
Mo17 0.1809 0.8191 0.7502  3 Mo 2.49-2.78, 2 Ir 2.77
Mo18 0.8191 0.1809 0.7502  3 Mo 2.49-2.78, 2 Ir 2.77
Mo19 0.1809 0.8191 0.2498  3 Mo 2.49-2.78, 2 Ir 2.77
Mo20 0.8191 0.1809 0.2498  3 Mo 2.49-2.78, 2 Ir 2.77
Mo21 0.3191 0.3191 0.7498  3 Mo 2.49-2.78, 2 Ir 2.77
Mo22 0.6809 0.6809 0.7498  3 Mo 2.49-2.78, 2 Ir 2.77

# 8
Entry from Alexandria via LeMat-Bulk: an optimized crystal structure of MoIr (PBE).

Values from the calculation:
Formation energy from the elements: 0.480 eV per atom
Total energy: -9.37 eV per atom
Magnetization: 0.00 Bohr magnetons per cell

a b c (Å): 2.7385 4.9829 4.8191
angles (deg): 90.00 90.00 90.00
With the nearest neighbours (Å) after each atom.
Fractional coordinates of all 4 atoms:
Mo1 0.5000 0.5000 0.0000  6 Ir 2.49-2.77, 2 Mo 2.74
Mo2 0.0000 0.0000 0.5000  6 Ir 2.49-2.77, 2 Mo 2.74
Ir1 0.0000 0.5000 0.5000  6 Mo 2.49-2.77, 2 Ir 2.74
Ir2 0.5000 0.0000 0.0000  6 Mo 2.49-2.77, 2 Ir 2.74